# 1
## InB3Pd (GGA-PBE)

Data for a geometry-optimized InB3Pd structure.

abc: 4.4157 4.4157 4.4157
angles: 90.00 90.00 90.00
Last column: nearest neighbours and their distance in Å.
Positions (direct):
1 In 0.0000 0.0000 0.0000  6 B 2.21
2 B 0.0000 0.0000 0.5000  2 In 2.21
3 B 0.0000 0.5000 0.0000  2 In 2.21
4 B 0.5000 0.0000 0.0000  2 In 2.21
5 Pd 0.5000 0.5000 0.5000  12 B 3.12

Total magnetic moment ... 0.0 μB per cell
ΔE_f ... 2.3340 eV/atom
Polymorph energy (0 for the lowest one) ... 1005 meV/atom
Symmetry ... Pm-3m (221)



# 2
## InBPd2 (GGA-PBE)

Data for a geometry-optimized InBPd2 structure.

abc: 4.3803 4.3803 4.3803
angles: 60.00 60.00 60.00
Last column: nearest neighbours and their distance in Å.
Positions (direct):
1 In 0.0000 0.0000 0.0000  8 Pd 2.68
2 B 0.5000 0.5000 0.5000  8 Pd 2.68
3 Pd 0.2500 0.2500 0.2500  4 B 2.68, 4 In 2.68
4 Pd 0.7500 0.7500 0.7500  4 B 2.68, 4 In 2.68

Total magnetic moment ... 0.0 μB per cell
ΔE_f ... 0.3262 eV/atom
Symmetry ... Fm-3m (225)



# 3
## In3B2Pd9 (GGA-PBE)

Data for a geometry-optimized In3B2Pd9 structure.

abc: 5.8674 5.8674 14.4611
angles: 90.00 90.00 120.00
Last column: nearest neighbours and their distance in Å.
Positions (direct):
1 In 0.0000 0.0000 0.2500  12 Pd 2.93-2.95
2 In 0.0000 0.0000 0.7500  12 Pd 2.93-2.95
3 In 0.3333 0.6667 0.0808  12 Pd 2.91-2.96
4 In 0.3333 0.6667 0.4192  12 Pd 2.91-2.96
5 In 0.6667 0.3333 0.5808  12 Pd 2.91-2.96
6 In 0.6667 0.3333 0.9192  12 Pd 2.91-2.96
7 B 0.3333 0.6667 0.6602  6 Pd 2.07-2.16
8 B 0.3333 0.6667 0.8398  6 Pd 2.07-2.16
9 B 0.6667 0.3333 0.1602  6 Pd 2.07-2.16
10 B 0.6667 0.3333 0.3398  6 Pd 2.07-2.16
11 Pd 0.0056 0.5028 0.2500  2 B 2.16
12 Pd 0.1634 0.3268 0.5812  1 B 2.07
13 Pd 0.1634 0.3268 0.9188  1 B 2.07
14 Pd 0.1634 0.8366 0.5812  1 B 2.07
15 Pd 0.1634 0.8366 0.9188  1 B 2.07
16 Pd 0.3268 0.1634 0.0812  1 B 2.07
17 Pd 0.3268 0.1634 0.4188  1 B 2.07
18 Pd 0.4972 0.5028 0.2500  2 B 2.16
19 Pd 0.4972 0.9944 0.2500  2 B 2.16
20 Pd 0.5028 0.0056 0.7500  2 B 2.16
21 Pd 0.5028 0.4972 0.7500  2 B 2.16
22 Pd 0.6732 0.8366 0.5812  1 B 2.07
23 Pd 0.6732 0.8366 0.9188  1 B 2.07
24 Pd 0.8366 0.1634 0.0812  1 B 2.07
25 Pd 0.8366 0.1634 0.4188  1 B 2.07
26 Pd 0.8366 0.6732 0.0812  1 B 2.07
27 Pd 0.8366 0.6732 0.4188  1 B 2.07
28 Pd 0.9944 0.4972 0.7500  2 B 2.16

Total magnetic moment ... 0.0 μB per cell
ΔE_f ... -0.4315 eV/atom
Symmetry ... P6_3/mmc (194)



# 4
## InB2Pd8 (GGA-PBE)

Data for a geometry-optimized InB2Pd8 structure.

abc: 6.3502 6.3502 4.3013
angles: 97.50 97.50 110.76
Last column: nearest neighbours and their distance in Å.
Positions (direct):
1 In 0.0000 0.0000 0.0000  12 Pd 2.72-2.95
2 B 0.3234 0.6766 0.5000  8 Pd 2.25-2.41
3 B 0.6766 0.3234 0.5000  8 Pd 2.25-2.41
4 Pd 0.0619 0.3308 0.5851  2 B 2.34-2.41
5 Pd 0.2599 0.7401 0.0000  2 B 2.25
6 Pd 0.3308 0.0619 0.5851  2 B 2.34-2.41
7 Pd 0.3901 0.3901 0.2076  2 B 2.27
8 Pd 0.6099 0.6099 0.7924  2 B 2.27
9 Pd 0.6692 0.9381 0.4149  2 B 2.34-2.41
10 Pd 0.7401 0.2599 0.0000  2 B 2.25
11 Pd 0.9381 0.6692 0.4149  2 B 2.34-2.41

Total magnetic moment ... 0.0 μB per cell
ΔE_f ... -0.2332 eV/atom
Symmetry ... C2/m (12)



The records above yield total energy values of -3.26; -4.62; -5.31; -5.47 eV/atom, respectively.